1.
The following is a GGA+U calculation of a relaxed structure of Rb2BeCo3F12, from Alexandria.

Properties
- Space group: No. 166
- Total DFT energy (no corrections): -4.737 eV per atom
- Size of the total moment: 0.389 μB/atom
- N(E_F): 2.81 states/eV/f.u.

```
Rb2BeCo3F12
1.0
-6.8476 0.3603 0.9436
-3.1453 -5.6735 2.4140
-2.2681 0.2012 6.5364
F Co Be Rb
12 3 1 2
Direct
0.6691 0.6691 0.0636 F
0.9405 0.2947 0.9405 F
0.9364 0.3309 0.3309 F
0.3309 0.9364 0.3309 F
0.7053 0.0595 0.0595 F
0.0636 0.6691 0.6691 F
0.2947 0.9405 0.9405 F
0.0595 0.0595 0.7053 F
0.3309 0.3309 0.9364 F
0.6691 0.0636 0.6691 F
0.0595 0.7053 0.0595 F
0.9405 0.9405 0.2947 F
0.5000 0.0000 0.0000 Co
0.0000 0.0000 0.5000 Co
0.0000 0.5000 0.0000 Co
0.0000 0.0000 0.0000 Be
0.6325 0.6325 0.6325 Rb
0.3675 0.3675 0.3675 Rb
```

2.
The following is a GGA+U calculation of a relaxed structure of RbBe2CoF, from Alexandria.

Properties
- Space group: No. 123
- Total DFT energy (no corrections): -2.307 eV per atom
- Size of the total moment: 0.292 μB/atom
- N(E_F): 4.94 states/eV/f.u.

```
RbBe2CoF
1.0
3.9964 0.0000 0.0000
0.0000 5.1246 0.0000
0.0000 0.0000 3.9964
Be F Rb Co
2 1 1 1
Direct
0.0000 0.0000 0.5000 Be
0.5000 0.0000 0.0000 Be
0.0000 0.0000 0.0000 F
0.0000 0.5000 0.0000 Rb
0.5000 0.5000 0.5000 Co
```

3.
The following is a GGA+U calculation of a relaxed structure of BeCo2RhF, from Alexandria.

Properties
- Space group: No. 123
- Total DFT energy (no corrections): -4.067 eV per atom
- Size of the total moment: 0.871 μB/atom
- N(E_F): 4.54 states/eV/f.u.

```
BeCo2RhF
1.0
-0.3490 -3.8396 0.6201
1.0434 -0.7832 -4.2620
3.7804 -0.1886 0.9601
Co F Be Rh
2 1 1 1
Direct
0.5000 0.0000 0.0000 Co
0.0000 0.0000 0.5000 Co
0.0000 0.0000 0.0000 F
0.5000 0.5000 0.5000 Be
0.0000 0.5000 0.0000 Rh
```

4.
The following is a GGA+U calculation of a relaxed structure of BeCoSeF2, from Alexandria.

Properties
- Space group: No. 123
- Total DFT energy (no corrections): -3.969 eV per atom
- Size of the total moment: 0.608 μB/atom
- N(E_F): 2.06 states/eV/f.u.

```
BeCoSeF2
1.0
-3.4721 0.9727 0.4901
0.7890 -0.6596 6.8988
1.0085 3.4896 0.2183
Se Be F Co
1 1 2 1
Direct
0.5000 0.5000 0.5000 Se
0.0000 0.5000 0.0000 Be
0.0000 0.0000 0.5000 F
0.5000 0.0000 0.0000 F
0.0000 0.0000 0.0000 Co
```

5.
The following is a GGA+U calculation of a relaxed structure of BeCoSnF2, from Alexandria.

Properties
- Space group: No. 123
- Total DFT energy (no corrections): -3.669 eV per atom
- Size of the total moment: 0.534 μB/atom
- N(E_F): 2.38 states/eV/f.u.

```
BeCoSnF2
1.0
4.3396 0.0000 0.0000
0.0000 4.9804 0.0000
0.0000 0.0000 4.3396
Be Co F Sn
1 1 2 1
Direct
0.0000 0.5000 0.0000 Be
0.5000 0.5000 0.5000 Co
0.5000 0.0000 0.0000 F
0.0000 0.0000 0.5000 F
0.0000 0.0000 0.0000 Sn
```

6.
The following is a GGA+U calculation of a relaxed structure of Be2TlCoF8, from Alexandria.

Properties
- Space group: No. 12
- Total DFT energy (no corrections): -5.076 eV per atom
- Size of the total moment: 0.334 μB/atom

```
Be2TlCoF8
1.0
4.8964 -0.1236 0.0785
2.1490 4.4013 0.0785
0.4575 0.2778 8.2289
F Be Co Tl
8 2 1 1
Direct
0.2249 0.2249 0.9458 F
0.6855 0.6855 0.3670 F
0.7178 0.2311 0.8329 F
0.7689 0.2822 0.1671 F
0.2311 0.7178 0.8329 F
0.3145 0.3145 0.6330 F
0.2822 0.7689 0.1671 F
0.7751 0.7751 0.0542 F
0.6307 0.6307 0.1988 Be
0.3693 0.3693 0.8012 Be
0.0000 0.0000 0.0000 Co
0.0000 0.0000 0.5000 Tl
```

7.
The following is a GGA+U calculation of a relaxed structure of BeZnCoF6, from Alexandria.

Properties
- Space group: No. 163
- Total DFT energy (no corrections): -4.807 eV per atom
- Size of the total moment: 0.333 μB/atom
- N(E_F): 0.00 states/eV/f.u.

```
BeZnCoF6
1.0
4.9560 0.0000 0.0000
-2.4780 4.2921 0.0000
0.0000 0.0000 8.8024
F Be Co Zn
12 2 2 2
Direct
0.9600 0.6340 0.3649 F
0.0400 0.6739 0.8649 F
0.3660 0.3261 0.3649 F
0.0400 0.3660 0.6351 F
0.3660 0.0400 0.1351 F
0.9600 0.3261 0.1351 F
0.6340 0.9600 0.8649 F
0.6739 0.6340 0.1351 F
0.3261 0.3660 0.8649 F
0.6340 0.6739 0.6351 F
0.3261 0.9600 0.6351 F
0.6739 0.0400 0.3649 F
0.6667 0.3333 0.2500 Be
0.3333 0.6667 0.7500 Be
0.3333 0.6667 0.2500 Co
0.6667 0.3333 0.7500 Co
0.0000 0.0000 0.0000 Zn
0.0000 0.0000 0.5000 Zn
```